RuWO2 | PBE+U | relaxed

a b c (Å): 7.1077 7.1077 7.1077
angles (deg): 22.40 22.40 22.40
With the nearest neighbours (Å) after each atom.
Fractional coordinates of all 4 atoms:
Ru: 0.0000 0.0000 0.0000  2 O 2.03
W: 0.5000 0.5000 0.5000  6 O 2.14
O: 0.0978 0.0978 0.0978  1 Ru 2.03, 3 W 2.14
O: 0.9022 0.9022 0.9022  1 Ru 2.03, 3 W 2.14

The raw total energy comes out at -28.976 eV/cell. For the density of states at the Fermi level, the calculation gives 3.09 states/eV/f.u. The space group is R-3m (166). The calculation puts the polymorph energy (0 for the lowest one) at 0.0 meV/atom.